(1)
Compound: HfPbO3
Source: Alexandria
Functional: GGA-PBEsol
Structure: optimized geometry

a = 5.815 Å, b = 11.656 Å, c = 8.133 Å
α = 90.00°, β = 90.00°, γ = 90.00°
Element x y z (fractional)
Hf 0.244 0.124 0.250
Hf 0.244 0.124 0.750
Hf 0.256 0.624 0.250
Hf 0.256 0.624 0.750
Hf 0.744 0.376 0.250
Hf 0.744 0.376 0.750
Hf 0.756 0.876 0.250
Hf 0.756 0.876 0.750
Pb 0.209 0.376 0.000
Pb 0.214 0.371 0.500
Pb 0.286 0.871 0.500
Pb 0.291 0.876 0.000
Pb 0.709 0.124 0.000
Pb 0.714 0.129 0.500
Pb 0.786 0.629 0.500
Pb 0.791 0.624 0.000
O 0.000 0.000 0.229
O 0.000 0.000 0.771
O 0.000 0.500 0.207
O 0.000 0.500 0.793
O 0.026 0.260 0.280
O 0.026 0.260 0.720
O 0.207 0.596 0.500
O 0.230 0.655 0.000
O 0.270 0.155 0.000
O 0.293 0.096 0.500
O 0.474 0.760 0.280
O 0.474 0.760 0.720
O 0.500 0.000 0.207
O 0.500 0.000 0.793
O 0.500 0.500 0.229
O 0.500 0.500 0.771
O 0.526 0.240 0.280
O 0.526 0.240 0.720
O 0.707 0.904 0.500
O 0.730 0.845 0.000
O 0.770 0.345 0.000
O 0.793 0.404 0.500
O 0.974 0.740 0.280
O 0.974 0.740 0.720

Summary:
formation energy without anion corrections	-2.597	eV per atom

(2)
Compound: Bi2Sb2Te3Se3
Source: Alexandria
Functional: GGA-PBEsol
Structure: optimized geometry

a = 19.649 Å, b = 19.649 Å, c = 19.649 Å
α = 12.26°, β = 12.26°, γ = 12.26°
Element x y z (fractional)
Bi 0.000 0.000 0.000
Bi 0.496 0.496 0.496
Sb 0.101 0.101 0.101
Sb 0.605 0.605 0.605
Te 0.194 0.194 0.194
Te 0.405 0.405 0.405
Te 0.908 0.908 0.908
Se 0.302 0.302 0.302
Se 0.693 0.693 0.693
Se 0.798 0.798 0.798

Summary:
formation energy without anion corrections	-0.261	eV per atom

(3)
Compound: CuBr
Source: Alexandria
Functional: GGA-PBEsol
Structure: optimized geometry

a = 3.843 Å, b = 4.118 Å, c = 6.960 Å
α = 90.00°, β = 90.00°, γ = 90.00°
Element x y z (fractional)
Cu 0.250 0.000 0.115
Cu 0.750 0.000 0.885
Br 0.250 0.500 0.250
Br 0.750 0.500 0.750

Summary:
formation energy without anion corrections	0.005	eV per atom